The following is a PBE calculation of AlAs2W after structural relaxation, from the Alexandria database.

## Properties
ΔH_f (0 K): 0.469 eV/atom
Mass density: 9.0 g cm⁻³
Polymorph energy (0 for the lowest one): 404 meV/atom
M_tot: 0.0 μB per cell

Cell: 3.245 4.337 4.724 Å, 90.00 90.00 90.00°
Atoms (fractional coordinates):
Al 0.000 0.000 0.000
As 0.000 0.500 0.500
As 0.500 0.500 0.000
W 0.500 0.000 0.500